# 1
Density functional theory data (meta-GGA SCAN) for NiAuBr2 at its PBEsol-relaxed geometry.

Calculated values
Space-group type: R-3m, No. 166

Unit cell a=3.6299 b=3.6299 c=7.9528 alpha=76.81 beta=76.81 gamma=60.00
Atoms (fractional coordinates):
Au: 0.0000 0.0000 0.0000
Br: 0.1071 0.1071 0.6788
Br: 0.8929 0.8929 0.3212
Ni: 0.5000 0.5000 0.5000

---

# 2
Density functional theory data (meta-GGA SCAN) for DyC2 at its PBEsol-relaxed geometry.

Calculated values
Space-group type: I4/mmm, No. 139
Formation enthalpy at 0 K (eV/f.u.): -1.0

Unit cell a=3.6120 b=3.9991 c=3.6120 alpha=116.85 beta=90.00 gamma=116.85
Atoms (fractional coordinates):
Dy: 0.0000 0.0000 0.0000
C: 0.6058 0.2116 0.6058
C: 0.3942 0.7884 0.3942

---

# 3
Density functional theory data (meta-GGA SCAN) for Ag2Sb at its PBEsol-relaxed geometry.

Calculated values
Space-group type: Fmmm, No. 69
Offset from the most stable computed form (eV per atom): 0.019

Unit cell a=3.7493 b=3.7493 c=4.9811 alpha=112.16 beta=112.16 gamma=89.92
Atoms (fractional coordinates):
Ag: 0.8331 0.8331 0.6660
Ag: 0.1669 0.1669 0.3340
Sb: 0.5000 0.5000 0.0000

---

Number 1: calculated total energy -31.043 eV/atom. Number 2: calculated total energy -22.986 eV/atom. Number 3: calculated total energy -33.239 eV/atom.